A relaxed structure of Li2Fe3SbO8. Source: the Alexandria database, functional PBE+U.

The structure in POSCAR format:
```
Li2Fe3SbO8
1.0
3.020 1.743 5.037
-3.020 1.743 5.037
0.000 -3.487 5.037
Li Fe Sb O
2 3 1 8
Direct
0.132 0.132 0.132
0.868 0.868 0.868
0.000 0.500 0.500
0.500 0.000 0.500
0.500 0.500 0.000
0.500 0.500 0.500
0.265 0.265 0.719
0.265 0.719 0.265
0.266 0.266 0.266
0.281 0.735 0.735
0.719 0.265 0.265
0.734 0.734 0.734
0.735 0.281 0.735
0.735 0.735 0.281
```

Calculated values
calculated volume	159	Å³/f.u.
E_tot	-87.504	eV for the cell shown
SG	R-3m, No. 166